(1)
Entry from the Alexandria database: a geometry-optimized PmGeF structure (PBE).

a b c (Å): 3.9701 3.9701 4.8436
angles (deg): 90.00 90.00 120.00
Positions (direct):
Pm (0.0000, 0.0000, 0.0000)
Ge (0.6667, 0.3333, 0.5000)
F (0.3333, 0.6667, 0.0000)

Results
Spin magnetization: 0.00 μB per formula unit
Crystal system: hexagonal
Formation energy without anion corrections: -5.3 eV/f.u.
Final energy: -16.489 eV/cell
Energy above the most stable polymorph in this dataset: 0.82 eV per formula unit



(2)
Entry from the Alexandria database: a geometry-optimized Pm2GeF structure (PBE).

a b c (Å): 4.1599 4.1599 18.2739
angles (deg): 90.00 90.00 120.00
Positions (direct):
Pm (0.0000, 0.0000, 0.2452)
Pm (0.0000, 0.0000, 0.7548)
Pm (0.3333, 0.6667, 0.4214)
Pm (0.3333, 0.6667, 0.9119)
Pm (0.6667, 0.3333, 0.0881)
Pm (0.6667, 0.3333, 0.5786)
Ge (0.0000, 0.0000, 0.0000)
Ge (0.3333, 0.6667, 0.6667)
Ge (0.6667, 0.3333, 0.3333)
F (0.0000, 0.0000, 0.5000)
F (0.3333, 0.6667, 0.1667)
F (0.6667, 0.3333, 0.8333)

Results
Spin magnetization: 0.00 μB per formula unit
Crystal system: trigonal
Formation energy without anion corrections: -6.4 eV/f.u.
Final energy: -67.276 eV/cell
Energy above the most stable polymorph in this dataset: 0.06 eV per formula unit



(3)
Entry from the Alexandria database: a geometry-optimized PmGeF structure (PBE).

a b c (Å): 8.7909 3.8933 8.5229
angles (deg): 90.00 118.39 90.00
Positions (direct):
Pm (0.1709, 0.0000, 0.2666)
Pm (0.3291, 0.5000, 0.7334)
Pm (0.6709, 0.5000, 0.2666)
Pm (0.8291, 0.0000, 0.7334)
Ge (0.1338, 0.5000, 0.9630)
Ge (0.3662, 0.0000, 0.0369)
Ge (0.6338, 0.0000, 0.9630)
Ge (0.8662, 0.5000, 0.0369)
F (0.1859, 0.0000, 0.5602)
F (0.3141, 0.5000, 0.4398)
F (0.6859, 0.5000, 0.5602)
F (0.8141, 0.0000, 0.4398)

Results
Spin magnetization: 0.00 μB per formula unit
Crystal system: monoclinic
Formation energy without anion corrections: -6.1 eV/f.u.
Final energy: -69.234 eV/cell
Energy above the most stable polymorph in this dataset: 0.00 eV per formula unit



(4)
Entry from the Alexandria database: a geometry-optimized Pm5Ge3F structure (PBE).

a b c (Å): 9.0248 9.0248 9.0248
angles (deg): 127.47 127.47 77.48
Positions (direct):
Pm (0.0000, 0.0000, 0.0000)
Pm (0.0238, 0.5238, 0.8306)
Pm (0.1932, 0.0238, 0.5000)
Pm (0.3068, 0.8068, 0.8306)
Pm (0.4762, 0.3068, 0.5000)
Pm (0.5000, 0.5000, 0.0000)
Pm (0.5238, 0.6932, 0.5000)
Pm (0.6932, 0.1932, 0.1694)
Pm (0.8068, 0.9762, 0.5000)
Pm (0.9762, 0.4762, 0.1694)
Ge (0.1333, 0.3667, 0.5000)
Ge (0.2500, 0.2500, 0.0000)
Ge (0.3667, 0.8667, 0.2335)
Ge (0.6333, 0.1333, 0.7665)
Ge (0.7500, 0.7500, 0.0000)
Ge (0.8667, 0.6333, 0.5000)
F (0.2500, 0.7500, 0.5000)
F (0.7500, 0.2500, 0.5000)

Results
Spin magnetization: 1.51 μB per formula unit
Crystal system: tetragonal
Formation energy without anion corrections: -10.9 eV/f.u.
Final energy: -100.760 eV/cell
Energy above the most stable polymorph in this dataset: 0.25 eV per formula unit



(5)
Entry from the Alexandria database: a geometry-optimized PmGeF6 structure (PBE).

a b c (Å): 5.5909 8.1635 5.3115
angles (deg): 90.00 100.97 90.00
Positions (direct):
Pm (0.0000, 0.0000, 0.0000)
Pm (0.5000, 0.5000, 0.0000)
Ge (0.0000, 0.5000, 0.5000)
Ge (0.5000, 0.0000, 0.5000)
F (0.1921, 0.3409, 0.7578)
F (0.1921, 0.6591, 0.7578)
F (0.2262, 0.0000, 0.6901)
F (0.2738, 0.5000, 0.3099)
F (0.3079, 0.1591, 0.2422)
F (0.3079, 0.8409, 0.2422)
F (0.6921, 0.1591, 0.7578)
F (0.6921, 0.8409, 0.7578)
F (0.7262, 0.5000, 0.6901)
F (0.7738, 0.0000, 0.3099)
F (0.8079, 0.3409, 0.2422)
F (0.8079, 0.6591, 0.2422)

Results
Spin magnetization: 0.39 μB per formula unit
Crystal system: monoclinic
Formation energy without anion corrections: -23.7 eV/f.u.
Final energy: -88.579 eV/cell



(6)
Entry from the Alexandria database: a geometry-optimized Pm4Ge2F structure (PBE).

a b c (Å): 4.6696 4.6696 16.4706
angles (deg): 90.00 90.00 90.00
Positions (direct):
Pm (0.0000, 0.0000, 0.1847)
Pm (0.0000, 0.0000, 0.8153)
Pm (0.0000, 0.5000, 0.0000)
Pm (0.0000, 0.5000, 0.5000)
Pm (0.5000, 0.0000, 0.0000)
Pm (0.5000, 0.0000, 0.5000)
Pm (0.5000, 0.5000, 0.3153)
Pm (0.5000, 0.5000, 0.6847)
Ge (0.0000, 0.0000, 0.3678)
Ge (0.0000, 0.0000, 0.6322)
Ge (0.5000, 0.5000, 0.1322)
Ge (0.5000, 0.5000, 0.8678)
F (0.0000, 0.0000, 0.0000)
F (0.5000, 0.5000, 0.5000)

Results
Spin magnetization: 1.91 μB per formula unit
Crystal system: tetragonal
Formation energy without anion corrections: -7.7 eV/f.u.
Final energy: -75.529 eV/cell
Energy above the most stable polymorph in this dataset: 0.79 eV per formula unit



(7)
Entry from the Alexandria database: a geometry-optimized Pm4Ge2F structure (PBE).

a b c (Å): 6.6284 6.8573 8.5406
angles (deg): 90.00 108.49 90.00
Positions (direct):
Pm (0.0146, 0.0022, 0.2567)
Pm (0.0146, 0.4978, 0.2567)
Pm (0.4242, 0.2500, 0.1114)
Pm (0.4399, 0.2500, 0.6015)
Pm (0.5601, 0.7500, 0.3985)
Pm (0.5758, 0.7500, 0.8886)
Pm (0.9854, 0.5022, 0.7433)
Pm (0.9854, 0.9978, 0.7433)
Ge (0.2176, 0.7500, 0.0485)
Ge (0.2232, 0.7500, 0.5618)
Ge (0.7768, 0.2500, 0.4382)
Ge (0.7824, 0.2500, 0.9515)
F (0.2544, 0.2500, 0.8106)
F (0.7456, 0.7500, 0.1894)

Results
Spin magnetization: 0.00 μB per formula unit
Crystal system: monoclinic
Formation energy without anion corrections: -8.4 eV/f.u.
Final energy: -77.100 eV/cell
Energy above the most stable polymorph in this dataset: 0.00 eV per formula unit



(8)
Entry from the Alexandria database: a geometry-optimized Pm2GeF structure (PBE).

a b c (Å): 3.3633 3.3633 7.5195
angles (deg): 90.00 90.00 90.00
Positions (direct):
Pm (0.0000, 0.0000, 0.2474)
Pm (0.0000, 0.0000, 0.7526)
Ge (0.5000, 0.5000, 0.5000)
F (0.5000, 0.5000, 0.0000)

Results
Spin magnetization: 0.00 μB per formula unit
Crystal system: tetragonal
Formation energy without anion corrections: -5.3 eV/f.u.
Final energy: -21.248 eV/cell
Energy above the most stable polymorph in this dataset: 1.24 eV per formula unit